NaZr (PBE, relaxed); SG = Amm2; V = 246.1 Å³ per cell; final energy = -43.0 eV per cell
1.0
5.198 0.000 0.000
0.000 8.227 2.878
0.000 -8.227 2.878
Na Zr
5 5
direct
0.000 0.000 0.000
0.000 0.378 0.572
0.000 0.572 0.378
0.500 0.065 0.271
0.500 0.271 0.065
0.000 0.168 0.747
0.000 0.747 0.168
0.500 0.462 0.863
0.500 0.681 0.681
0.500 0.863 0.462